Here is CoSnAsO after structural relaxation from the Open Quantum Materials Database. Energies are from PBE+U.

```
CoSnAsO
1.0
3.717 0.000 0.000
0.000 3.717 0.000
0.000 0.000 10.208
Co Sn As O
2 2 2 2
Cartesian
0.929 2.788 0.000 Co
2.788 0.929 0.000 Co
0.929 0.929 3.894 Sn
2.788 2.788 6.314 Sn
0.929 0.929 8.889 As
2.788 2.788 1.320 As
0.929 2.788 5.104 O
2.788 0.929 5.104 O
```

Results
The value obtained for the density is 6324 kg/m3. For the volume, the calculation gives 17.6 Å³/atom. The energy above the most stable polymorph in this dataset comes out at 0 meV/atom. The value obtained for the spin magnetization is 0.0 μB/cell. As for the space group: P4/nmm (129). The value obtained for the total energy is -5.107 eV/atom.